DFT (PBE-GGA) results for a relaxed Dy3Ho5S8 crystal.

Cell and atoms, written as CIF:
```
data_Dy3Ho5S8
_chemical_formula_sum 'Dy9 Ho15 S24'
_symmetry_space_group_name_H-M 'R -3 m'
_symmetry_Int_Tables_number 166
_symmetry_space_group_name_Hall '-R 3 2"'
_cell_length_a 7.7843
_cell_length_b 7.7843
_cell_length_c 19.0708
_cell_angle_alpha 90.00
_cell_angle_beta 90.00
_cell_angle_gamma 120.00
loop_
_atom_site_label
_atom_site_fract_x
_atom_site_fract_y
_atom_site_fract_z
Dy1 0.0000 0.5000 0.0000
Ho1 0.0000 0.0000 0.0000
Ho2 0.0000 0.0000 0.5000
Ho3 0.0000 0.5000 0.5000
S1 0.0000 0.0000 0.2493
S2 0.0010 0.5005 0.7505
```

- raw formation energy (meV/atom) = -1977
- density of states at the Fermi level (states/eV/f.u.) = 9.14
- total DFT energy (no corrections) (Ry per atom) = -0.466

DFT (PBE-GGA) results for a relaxed SrCuTe2 crystal.

Cell and atoms, written as CIF:
```
data_SrCuTe2
_chemical_formula_sum 'Sr2 Cu2 Te4'
_symmetry_space_group_name_H-M 'C 1 2/m 1'
_symmetry_Int_Tables_number 12
_cell_length_a 7.3118
_cell_length_b 4.5067
_cell_length_c 7.4839
_cell_angle_alpha 90.00
_cell_angle_beta 106.26
_cell_angle_gamma 90.00
loop_
_symmetry_equiv_pos_as_xyz
'x,y,z'
'-x,-y,-z'
'-x,y,-z'
'x,-y,z'
'x+1/2,y+1/2,z'
'-x+1/2,-y+1/2,-z'
'-x+1/2,y+1/2,-z'
'x+1/2,-y+1/2,z'
loop_
_atom_site_label
_atom_site_fract_x
_atom_site_fract_y
_atom_site_fract_z
Sr1 0.0000 0.0000 0.0000
Cu1 0.0000 0.5000 0.5000
Te1 0.2484 0.5000 0.3003
```

- raw formation energy (meV/atom) = -591
- density of states at the Fermi level (states/eV/f.u.) = 5.60
- total DFT energy (no corrections) (Ry per atom) = -0.265

DFT (PBE-GGA) results for a relaxed NpFeP2Ir2 crystal.

Cell and atoms, written as CIF:
```
data_NpFeP2Ir2
_chemical_formula_sum 'Np2 Fe2 P4 Ir4'
_symmetry_space_group_name_H-M 'P m c 21'
_symmetry_Int_Tables_number 26
_cell_length_a 3.8155
_cell_length_b 7.6540
_cell_length_c 6.2292
_cell_angle_alpha 90.00
_cell_angle_beta 90.00
_cell_angle_gamma 90.00
loop_
_symmetry_equiv_pos_as_xyz
'x,y,z'
'-x,-y,z+1/2'
'-x,y,z'
'x,-y,z+1/2'
loop_
_atom_site_label
_atom_site_fract_x
_atom_site_fract_y
_atom_site_fract_z
Np1 0.0000 0.0384 0.0000
Fe1 0.5000 0.2508 0.6299
P1 0.0000 0.3462 0.7571
P2 0.5000 0.1817 0.2788
Ir1 0.0000 0.3599 0.3577
Ir2 0.5000 0.3967 0.0165
```

- calculated formation energy (eV per atom) = -0.44
- density of states at the Fermi level (states/eV/f.u.) = 8.19
- total DFT energy (no corrections) (Ry per atom) = -0.644

DFT (PBE-GGA) results for a relaxed FeP2Br crystal.

Cell and atoms, written as CIF:
```
data_FeP2Br
_chemical_formula_sum 'Fe3 P6 Br3'
_symmetry_space_group_name_H-M 'R 3 m'
_symmetry_Int_Tables_number 160
_symmetry_space_group_name_Hall 'R 3 -2"'
_cell_length_a 3.2845
_cell_length_b 3.2845
_cell_length_c 25.9291
_cell_angle_alpha 90.00
_cell_angle_beta 90.00
_cell_angle_gamma 120.00
loop_
_atom_site_label
_atom_site_fract_x
_atom_site_fract_y
_atom_site_fract_z
Fe1 0.0000 0.0000 0.0000
P1 0.0000 0.0000 0.2626
P2 0.0000 0.0000 0.5456
Br1 0.0000 0.0000 0.7291
```

- raw formation energy (meV/atom) = 107
- density of states at the Fermi level (states/eV/f.u.) = 2.64
- E above lowest polymorph (eV per atom) = 0.1994
- total DFT energy (no corrections) (Ry per atom) = -0.377

DFT (PBE-GGA) results for a relaxed ReTeF3 crystal.

Cell and atoms, written as CIF:
```
data_ReTeF3
_chemical_formula_sum 'Re1 Te1 F3'
_symmetry_space_group_name_H-M 'P m -3 m'
_symmetry_Int_Tables_number 221
_symmetry_space_group_name_Hall '-P 4 2 3'
_cell_length_a 4.3734
_cell_length_b 4.3734
_cell_length_c 4.3734
_cell_angle_alpha 90.00
_cell_angle_beta 90.00
_cell_angle_gamma 90.00
loop_
_atom_site_label
_atom_site_fract_x
_atom_site_fract_y
_atom_site_fract_z
Re1 0.0000 0.0000 0.0000
Te1 0.5000 0.5000 0.5000
F1 0.0000 0.0000 0.5000
```

- raw formation energy (meV/atom) = -470
- density of states at the Fermi level (states/eV/f.u.) = 3.27
- E above lowest polymorph (eV per atom) = 0.0000
- total DFT energy (no corrections) (Ry per atom) = -0.346

DFT (PBE-GGA) results for a relaxed Pr5Sm4Tm4 crystal.

Cell and atoms, written as CIF:
```
data_Pr5Sm4Tm4
_chemical_formula_sum 'Pr10 Sm8 Tm8'
_symmetry_space_group_name_H-M 'I 4/m'
_symmetry_Int_Tables_number 87
_symmetry_space_group_name_Hall '-I 4'
_cell_length_a 13.0666
_cell_length_b 13.0666
_cell_length_c 5.1044
_cell_angle_alpha 90.00
_cell_angle_beta 90.00
_cell_angle_gamma 90.00
loop_
_atom_site_label
_atom_site_fract_x
_atom_site_fract_y
_atom_site_fract_z
Pr1 0.0000 0.0000 0.0000
Pr2 0.0374 0.8033 0.5000
Sm1 0.1550 0.2330 0.0000
Tm1 0.0746 0.6122 0.0000
```

- calculated formation energy (eV per atom) = 0.02
- density of states at the Fermi level (states/eV/f.u.) = 18.88
- total DFT energy (no corrections) (Ry per atom) = -0.341

DFT (PBE-GGA) results for a relaxed CsKNa2 crystal.

Cell and atoms, written as CIF:
```
data_CsKNa2
_chemical_formula_sum 'Cs3 K3 Na6'
_symmetry_space_group_name_H-M 'R -3 m'
_symmetry_Int_Tables_number 166
_symmetry_space_group_name_Hall '-R 3 2"'
_cell_length_a 4.6805
_cell_length_b 4.6805
_cell_length_c 39.6269
_cell_angle_alpha 90.00
_cell_angle_beta 90.00
_cell_angle_gamma 120.00
loop_
_atom_site_label
_atom_site_fract_x
_atom_site_fract_y
_atom_site_fract_z
Cs1 0.0000 0.0000 0.0000
K1 0.0000 0.0000 0.5000
Na1 0.0000 0.0000 0.2445
```

- calculated formation energy (eV per atom) = 0.09
- density of states at the Fermi level (states/eV/f.u.) = 3.18
- E above lowest polymorph (eV per atom) = 0.0730
- total DFT energy (no corrections) (Ry per atom) = -0.077

DFT (PBE-GGA) results for a relaxed K2LaTa6Br15O3 crystal.

Cell and atoms, written as CIF:
```
data_K2LaTa6Br15O3
_chemical_formula_sum 'K4 La2 Ta12 Br30 O6'
_symmetry_space_group_name_H-M 'P -3 1 c'
_symmetry_Int_Tables_number 163
_symmetry_space_group_name_Hall '-P 3 2c'
_cell_length_a 9.5906
_cell_length_b 9.5906
_cell_length_c 18.3420
_cell_angle_alpha 90.00
_cell_angle_beta 90.00
_cell_angle_gamma 120.00
loop_
_atom_site_label
_atom_site_fract_x
_atom_site_fract_y
_atom_site_fract_z
K1 0.3333 0.6667 0.0271
La1 0.3333 0.6667 0.7500
Ta1 0.0163 0.1890 0.6866
Br1 0.0190 0.2228 0.4123
Br2 0.0701 0.4679 0.6158
Br3 0.2138 0.4275 0.2500
O1 0.1813 0.3626 0.7500
```

- raw formation energy (meV/atom) = -1463
- total DFT energy (no corrections) (Ry per atom) = -0.429

DFT (PBE-GGA) results for a relaxed CsLaCuS2 crystal.

Cell and atoms, written as CIF:
```
data_CsLaCuS2
_chemical_formula_sum 'Cs1 La1 Cu1 S2'
_symmetry_space_group_name_H-M 'P 4/m m m'
_symmetry_Int_Tables_number 123
_symmetry_space_group_name_Hall '-P 4 2'
_cell_length_a 5.0338
_cell_length_b 5.0338
_cell_length_c 4.9711
_cell_angle_alpha 90.00
_cell_angle_beta 90.00
_cell_angle_gamma 90.00
loop_
_atom_site_label
_atom_site_fract_x
_atom_site_fract_y
_atom_site_fract_z
Cs1 0.0000 0.0000 0.0000
La1 0.5000 0.5000 0.0000
Cu1 0.0000 0.0000 0.5000
S1 0.0000 0.5000 0.5000
```

- raw formation energy (meV/atom) = -169
- density of states at the Fermi level (states/eV/f.u.) = 3.96
- E above lowest polymorph (eV per atom) = 0.9694
- total DFT energy (no corrections) (Ry per atom) = -0.279

DFT (PBE-GGA) results for a relaxed NbTcP2S crystal.

Cell and atoms, written as CIF:
```
data_NbTcP2S
_chemical_formula_sum 'Nb1 Tc1 P2 S1'
_symmetry_space_group_name_H-M 'P 4/m m m'
_symmetry_Int_Tables_number 123
_symmetry_space_group_name_Hall '-P 4 2'
_cell_length_a 4.8589
_cell_length_b 4.8589
_cell_length_c 4.6764
_cell_angle_alpha 90.00
_cell_angle_beta 90.00
_cell_angle_gamma 90.00
loop_
_atom_site_label
_atom_site_fract_x
_atom_site_fract_y
_atom_site_fract_z
Nb1 0.0000 0.0000 0.0000
Tc1 0.5000 0.5000 0.5000
P1 0.0000 0.5000 0.0000
S1 0.0000 0.0000 0.5000
```

- raw formation energy (meV/atom) = 816
- density of states at the Fermi level (states/eV/f.u.) = 2.95
- E above lowest polymorph (eV per atom) = 0.0320
- total DFT energy (no corrections) (Ry per atom) = -0.460